LiPm2MoO6: relaxed, PBE with a Hubbard U.

The structure in POSCAR format:
```
LiPm2MoO6
1.0
5.2541 0.0000 0.0000
0.0000 5.2541 0.0000
0.0000 0.0000 5.0874
Li Pm Mo O
1 2 1 6
Cartesian
0.0000 0.0000 0.0000
0.0000 2.6270 2.2557
2.6270 0.0000 2.2557
2.6270 2.6270 0.0794
0.0000 0.0000 3.1022
1.3653 1.3653 0.8503
1.3653 3.8887 0.8503
2.6270 2.6270 3.2978
3.8887 1.3653 0.8503
3.8887 3.8887 0.8503
```

Results
The value obtained for the size of the total moment is 0.0981 μB per atom. The crystal system is tetragonal. The symmetry is P4mm (99). For the energy, the calculation gives -7.29 eV/atom.